Entry 1:
First-principles (PBE) data for a geometry-optimized CaSiHPd2 structure, as listed in the Alexandria database.

The space group is Cmcm (No. 63) and the conventional cell measures 3.6967, 11.1213 and 7.3282 Å, with angles of 90.00, 90.00 and 90.00 degrees. The asymmetric unit holds Ca at (0.0000, 0.0448, 0.2500), Si at (0.0000, 0.2310, 0.7500), H at (0.0000, 0.5000, 0.0000) and Pd at (0.0000, 0.3401, 0.0542).

The value obtained for the total energy is -4.977 eV/atom.

Entry 2:
First-principles (PBE) data for a geometry-optimized Ca2SiHPd6 structure, as listed in the Alexandria database.

The space group is C2/m (No. 12) and the conventional cell measures 10.0762, 5.8222 and 6.5622 Å, with angles of 90.00, 120.68 and 90.00 degrees. The asymmetric unit holds Ca at (0.2287, 0.0000, 0.1856), Si at (0.0000, 0.5000, 0.0000), H at (0.0000, 0.0000, 0.5000), Pd at (0.0170, 0.2503, 0.3001) and Pd at (0.2334, 0.0000, 0.7000).

The value obtained for the total energy is -5.070 eV/atom.

Entry 3:
First-principles (PBE) data for a geometry-optimized Ca2SnHPd structure, as listed in the Alexandria database.

The space group is P4/mmm (No. 123) and the conventional cell measures 5.2694, 5.2694 and 3.6944 Å, with angles of 90.00, 90.00 and 90.00 degrees. The asymmetric unit holds Ca at (0.0000, 0.5000, 0.0000), Sn at (0.0000, 0.0000, 0.5000), H at (0.5000, 0.5000, 0.0000) and Pd at (0.5000, 0.5000, 0.5000).

The value obtained for the total energy is -3.933 eV/atom.

Q: Which formula does entry 1 have?
A: CaSiHPd2